Compound: CrCo2Ag
Source: the Alexandria database
Functional: PBE
Structure: optimized geometry

Cell and atoms, written as POSCAR:
```
CrCo2Ag
1.0
2.595 0.017 0.000
-0.015 2.595 0.000
0.000 0.000 7.601
Ag Co Cr
1 2 1
direct
0.500 0.500 0.754
0.000 0.000 0.034
0.500 0.500 0.245
0.000 0.000 0.467
```

Output
**Space-group type**: P4mm (99)
**Energy above the lowest structure with this stoichiometry**: 0.0543 eV per atom